A crystal of Re3Ge relaxed with PBEsol. Source: Alexandria, functional SCAN.

The value obtained for the density of states at the Fermi level is 9.672 states/eV per cell. For the total energy, the calculation gives -461.63 eV/cell.

The structure belongs to space group I4/mmm (No. 139); the cell edges are 3.7968, 3.7968 and 8.0552 Å and the angles 90.00°, 90.00° and 90.00°. The inequivalent atoms are Re at (0.0000, 0.0000, 0.0000), Re at (0.0000, 0.5000, 0.2500) and Ge at (0.0000, 0.0000, 0.5000).